! LaIn2Os2 GGA-PBE optimized geometry; values from VASP
&SYSTEM
  ibrav = 0, nat = 5, ntyp = 3
/
ATOMIC_SPECIES
In 114.82 In.upf
Os 190.23 Os.upf
La 138.91 La.upf
CELL_PARAMETERS angstrom
4.5529 0.0000 0.0000
0.0000 4.5529 0.0000
2.2765 2.2765 5.4848
ATOMIC_POSITIONS angstrom
In 4.5529 2.2765 2.7424
In 2.2765 4.5529 2.7424
Os 2.2765 2.2765 1.1633
Os 4.5529 4.5529 4.3215
La 0.0000 0.0000 0.0000
! - formation enthalpy at 0 K (eV/atom) = 0.02
! - calculated volume (Å³/cell) = 113.70
! - SG = I4/mmm (139)